1.
# Pa2Be16Si

A relaxed structure of Pa2Be16Si (GGA-PBE, the Alexandria database).

Output
volume	201.2	Å³ per cell
uncorrected energy	-85.40	eV per cell

Cell and atoms, written as POSCAR:
```
Pa2Be16Si
1.0
-5.6258 1.2022 1.3176
-2.4208 -2.5190 -4.7566
-1.2925 -5.1890 2.4969
Pa Be Si
2 16 1
direct
0.6566 0.6566 0.6566
0.3412 0.3412 0.3412
0.7184 0.0012 0.2838
0.0012 0.2838 0.7184
0.2838 0.7184 0.0012
0.0012 0.7184 0.2838
0.7184 0.2838 0.0012
0.2838 0.0012 0.7184
0.3377 0.8417 0.3377
0.8417 0.3377 0.3377
0.3377 0.3377 0.8417
0.6586 0.1605 0.6586
0.1605 0.6586 0.6586
0.6586 0.6586 0.1605
0.0034 0.4931 0.0034
0.4931 0.0034 0.0034
0.0034 0.0034 0.4931
0.0989 0.0989 0.0989
0.9016 0.9016 0.9016
```


2.
# Mg3In3Ga8

A relaxed structure of Mg3In3Ga8 (GGA-PBE, the Alexandria database).

Output
ΔE_f	-6	meV/atom
volume	300.8	Å³ per cell
uncorrected energy	-37.30	eV per cell

Cell and atoms, written as POSCAR:
```
Mg3In3Ga8
1.0
-2.7033 -3.3581 -0.5731
4.0673 -6.6959 3.5479
-5.2185 0.2189 6.8326
Mg In Ga
3 3 8
direct
0.0000 0.5000 0.5000
0.0000 0.7895 0.2105
0.0000 0.2105 0.7895
0.5000 0.0000 0.0000
0.8085 0.1915 0.1915
0.1915 0.8085 0.8085
0.7447 0.9154 0.5953
0.2553 0.0846 0.4047
0.2553 0.4047 0.0846
0.7447 0.5953 0.9154
0.6120 0.2346 0.5415
0.3880 0.7654 0.4585
0.3880 0.4585 0.7654
0.6120 0.5415 0.2346
```


- Among the records above, which one has the highest volume?
  Mg3In3Ga8


- Which of these has the lowest volume?
  Pa2Be16Si